[1]
# SrLiGaPd

An optimized crystal structure of SrLiGaPd (PBE, Alexandria via LeMat-Bulk).

Summary:
The total energy is -3.286 eV per atom. For the offset from the most stable computed form, the calculation gives 0.2061 eV per atom. The space group is No. 216. The calculation puts the formation enthalpy at 0 K at -0.33 eV per atom.

```
data_SrLiGaPd
_chemical_formula_sum 'Sr1 Li1 Ga1 Pd1'
_symmetry_space_group_name_H-M 'P 1'
_symmetry_Int_Tables_number 1
_symmetry_space_group_name_Hall 'P 1'
_cell_length_a 4.903
_cell_length_b 4.903
_cell_length_c 4.903
_cell_angle_alpha 60.00
_cell_angle_beta 60.00
_cell_angle_gamma 60.00
loop_
_atom_site_label
_atom_site_type_symbol
_atom_site_fract_x
_atom_site_fract_y
_atom_site_fract_z
Sr1 Sr 0.750 0.750 0.750
Ga1 Ga 0.250 0.250 0.250
Pd1 Pd 0.000 0.000 0.000
Li1 Li 0.500 0.500 0.500
```

[2]
# SrLiGa2Pd

An optimized crystal structure of SrLiGa2Pd (PBE, Alexandria via LeMat-Bulk).

Summary:
The total energy is -3.372 eV per atom. For the offset from the most stable computed form, the calculation gives 0.1030 eV per atom. The space group is No. 123. The calculation puts the formation enthalpy at 0 K at -0.40 eV per atom.

```
data_SrLiGa2Pd
_chemical_formula_sum 'Sr1 Li1 Ga2 Pd1'
_symmetry_space_group_name_H-M 'P 1'
_symmetry_Int_Tables_number 1
_symmetry_space_group_name_Hall 'P 1'
_cell_length_a 4.865
_cell_length_b 4.865
_cell_length_c 4.884
_cell_angle_alpha 90.00
_cell_angle_beta 90.00
_cell_angle_gamma 90.00
loop_
_atom_site_label
_atom_site_type_symbol
_atom_site_fract_x
_atom_site_fract_y
_atom_site_fract_z
Sr1 Sr 0.500 0.500 0.500
Ga1 Ga 0.000 0.500 0.000
Ga2 Ga 0.500 0.000 0.000
Pd1 Pd 0.000 0.000 0.000
Li1 Li 0.000 0.000 0.500
```

[3]
# Sr2LiGaPd

An optimized crystal structure of Sr2LiGaPd (PBE, Alexandria via LeMat-Bulk).

Summary:
The total energy is -2.989 eV per atom. The space group is No. 123. The calculation puts the formation enthalpy at 0 K at -0.29 eV per atom.

```
data_Sr2LiGaPd
_chemical_formula_sum 'Sr2 Li1 Ga1 Pd1'
_symmetry_space_group_name_H-M 'P 1'
_symmetry_Int_Tables_number 1
_symmetry_space_group_name_Hall 'P 1'
_cell_length_a 5.920
_cell_length_b 5.920
_cell_length_c 4.865
_cell_angle_alpha 90.00
_cell_angle_beta 90.00
_cell_angle_gamma 90.00
loop_
_atom_site_label
_atom_site_type_symbol
_atom_site_fract_x
_atom_site_fract_y
_atom_site_fract_z
Sr1 Sr 0.000 0.500 0.000
Sr2 Sr 0.500 0.000 0.000
Ga1 Ga 0.000 0.000 0.500
Pd1 Pd 0.000 0.000 0.000
Li1 Li 0.500 0.500 0.500
```

[4]
# SrLiGaPd

An optimized crystal structure of SrLiGaPd (PBE, Alexandria via LeMat-Bulk).

Summary:
The total energy is -3.492 eV per atom. For the offset from the most stable computed form, the calculation gives 0.0000 eV per atom. The space group is No. 160. The calculation puts the formation enthalpy at 0 K at -0.54 eV per atom.

```
data_SrLiGaPd
_chemical_formula_sum 'Sr1 Li1 Ga1 Pd1'
_symmetry_space_group_name_H-M 'P 1'
_symmetry_Int_Tables_number 1
_symmetry_space_group_name_Hall 'P 1'
_cell_length_a 4.485
_cell_length_b 4.484
_cell_length_c 5.892
_cell_angle_alpha 112.42
_cell_angle_beta 90.00
_cell_angle_gamma 120.00
loop_
_atom_site_label
_atom_site_type_symbol
_atom_site_fract_x
_atom_site_fract_y
_atom_site_fract_z
Sr1 Sr 0.625 0.249 0.515
Li1 Li 0.814 0.627 0.083
Ga1 Ga 0.102 0.205 0.950
Pd1 Pd 0.426 0.851 0.919
```